The following is a PBE-GGA calculation of a geometry-optimized TbEuSiAu structure, from Alexandria.

Computed properties:
D(E_F): 1.387 states/eV/atom
formation energy (no corrections): -0.64 eV per atom
spin magnetization: 7.2 μB per cell

Cell lengths 5.1493, 5.1493, 5.1493 Å; angles 60.00, 60.00, 60.00 degrees
Atoms (fractional coordinates):
Tb: 0.0000 0.0000 0.0000
Eu: 0.5000 0.5000 0.5000
Si: 0.2500 0.2500 0.2500
Au: 0.7500 0.7500 0.7500

=====

The following is a PBE-GGA calculation of a geometry-optimized YbEuSi4Au4 structure, from Alexandria.

Computed properties:
D(E_F): 2.219 states/eV/atom
formation energy (no corrections): -0.53 eV per atom
spin magnetization: 7.1 μB per cell

Cell lengths 4.3660, 4.3660, 10.1406 Å; angles 90.00, 90.00, 90.00 degrees
Atoms (fractional coordinates):
Yb: 0.0000 0.0000 0.0000
Eu: 0.5000 0.5000 0.5000
Si: 0.0000 0.0000 0.3852
Si: 0.0000 0.0000 0.6148
Si: 0.5000 0.5000 0.1133
Si: 0.5000 0.5000 0.8867
Au: 0.0000 0.5000 0.2464
Au: 0.0000 0.5000 0.7536
Au: 0.5000 0.0000 0.2464
Au: 0.5000 0.0000 0.7536

=====

The following is a PBE-GGA calculation of a geometry-optimized SmEuAu2 structure, from Alexandria.

Computed properties:
D(E_F): 2.367 states/eV/atom
spin magnetization: 7.2 μB per cell
E_form: -0.796 eV/atom

Cell lengths 3.7142, 3.7142, 7.4223 Å; angles 90.00, 90.00, 90.00 degrees
Atoms (fractional coordinates):
Sm: 0.0000 0.0000 0.0000
Eu: 0.0000 0.0000 0.5000
Au: 0.5000 0.5000 0.2272
Au: 0.5000 0.5000 0.7728

=====

The following is a PBE-GGA calculation of a geometry-optimized SmEuAu structure, from Alexandria.

Computed properties:
D(E_F): 1.143 states/eV/atom
spin magnetization: 7.2 μB per cell
E_form: -0.413 eV/atom

Cell lengths 5.1361, 5.1361, 5.1361 Å; angles 60.00, 60.00, 60.00 degrees
Atoms (fractional coordinates):
Sm: 0.0000 0.0000 0.0000
Eu: 0.5000 0.5000 0.5000
Au: 0.2500 0.2500 0.2500

=====

The following is a PBE-GGA calculation of a geometry-optimized SmEuAu structure, from Alexandria.

Computed properties:
D(E_F): 0.597 states/eV/atom
spin magnetization: 7.3 μB per cell
E_form: -0.509 eV/atom

Cell lengths 7.0619, 7.0619, 7.0619 Å; angles 149.29, 149.29, 43.98 degrees
Atoms (fractional coordinates):
Sm: 0.0000 0.0000 0.0000
Eu: 0.7290 0.7290 0.0000
Au: 0.3809 0.3809 0.0000

=====

The following is a PBE-GGA calculation of a geometry-optimized SmEuAu2 structure, from Alexandria.

Computed properties:
D(E_F): 2.333 states/eV/atom
spin magnetization: 7.0 μB per cell
E_form: -0.778 eV/atom

Cell lengths 5.2296, 5.2296, 5.2296 Å; angles 60.00, 60.00, 60.00 degrees
Atoms (fractional coordinates):
Sm: 0.0000 0.0000 0.0000
Eu: 0.5000 0.5000 0.5000
Au: 0.2500 0.2500 0.2500
Au: 0.7500 0.7500 0.7500

=====

The following is a PBE-GGA calculation of a geometry-optimized SmEuAu2 structure, from Alexandria.

Computed properties:
D(E_F): 3.226 states/eV/atom
spin magnetization: 7.1 μB per cell
E_form: -0.703 eV/atom

Cell lengths 7.5817, 7.5817, 7.5817 Å; angles 33.15, 33.15, 33.15 degrees
Atoms (fractional coordinates):
Sm: 0.0000 0.0000 0.0000
Eu: 0.5000 0.5000 0.5000
Au: 0.2549 0.2549 0.2549
Au: 0.7451 0.7451 0.7451

=====

The following is a PBE-GGA calculation of a geometry-optimized SmEuAu structure, from Alexandria.

Computed properties:
D(E_F): 1.864 states/eV/atom
spin magnetization: 7.2 μB per cell
E_form: -0.367 eV/atom

Cell lengths 4.9917, 4.9917, 4.1148 Å; angles 90.00, 90.00, 120.00 degrees
Atoms (fractional coordinates):
Sm: 0.0000 0.0000 0.0000
Eu: 0.6667 0.3333 0.5362
Au: 0.3333 0.6667 0.1947

=====

The following is a PBE-GGA calculation of a geometry-optimized SmEuAu4 structure, from Alexandria.

Computed properties:
D(E_F): 1.250 states/eV/atom
spin magnetization: 7.2 μB per cell
E_form: -0.541 eV/atom

Cell lengths 5.7424, 5.7424, 5.7424 Å; angles 60.00, 60.00, 60.00 degrees
Atoms (fractional coordinates):
Sm: 0.0000 0.0000 0.0000
Eu: 0.7500 0.7500 0.7500
Au: 0.3751 0.3751 0.3751
Au: 0.3751 0.3751 0.8748
Au: 0.3751 0.8748 0.3751
Au: 0.8748 0.3751 0.3751

=====

The following is a PBE-GGA calculation of a geometry-optimized SmEuSnAu structure, from Alexandria.

Computed properties:
D(E_F): 2.109 states/eV/atom
spin magnetization: 7.2 μB per cell
E_form: -0.734 eV/atom

Cell lengths 5.3802, 5.3802, 5.3802 Å; angles 60.00, 60.00, 60.00 degrees
Atoms (fractional coordinates):
Sm: 0.0000 0.0000 0.0000
Eu: 0.5000 0.5000 0.5000
Sn: 0.7500 0.7500 0.7500
Au: 0.2500 0.2500 0.2500

=====

The following is a PBE-GGA calculation of a geometry-optimized SmEuZnAu structure, from Alexandria.

Computed properties:
D(E_F): 1.579 states/eV/atom
spin magnetization: 7.1 μB per cell
E_form: -0.519 eV/atom

Cell lengths 5.2288, 5.2288, 5.2288 Å; angles 60.00, 60.00, 60.00 degrees
Atoms (fractional coordinates):
Sm: 0.0000 0.0000 0.0000
Eu: 0.5000 0.5000 0.5000
Zn: 0.2500 0.2500 0.2500
Au: 0.7500 0.7500 0.7500

=====

The following is a PBE-GGA calculation of a geometry-optimized EuSnAu4 structure, from Alexandria.

Computed properties:
D(E_F): 2.435 states/eV/atom
spin magnetization: 7.0 μB per cell
E_form: -0.429 eV/atom

Cell lengths 5.6945, 5.6945, 5.6945 Å; angles 60.00, 60.00, 60.00 degrees
Atoms (fractional coordinates):
Eu: 0.0000 0.0000 0.0000
Sn: 0.7500 0.7500 0.7500
Au: 0.3750 0.3750 0.3750
Au: 0.3750 0.3750 0.8749
Au: 0.3750 0.8749 0.3750
Au: 0.8749 0.3750 0.3750